## BaYb3 (PBE-GGA)

Data for a relaxed BaYb3 crystal.

energy of formation = -0.034 eV per atom
E above lowest polymorph = 0.00 kJ/mol of atoms
ρ = 6.38 g/cm³
calculated total energy = -1.659 eV/atom

a b c (Å): 7.842 7.842 6.416
angles (deg): 90.00 90.00 120.00
Fractional positions:
Ba 0.333 0.667 0.250
Ba 0.667 0.333 0.750
Yb 0.162 0.324 0.750
Yb 0.162 0.838 0.750
Yb 0.324 0.162 0.250
Yb 0.676 0.838 0.750
Yb 0.838 0.162 0.250
Yb 0.838 0.676 0.250